The following is a DFT calculation (SCAN) of a PBEsol-optimized structure of ZrRh3.

extended XYZ file:
```
4
Lattice="3.901 0.000 0.000 0.000 3.901 0.000 0.000 0.000 3.901" Properties=species:S:1:pos:R:3 pbc="T T T"
Zr 0.000 0.000 0.000
Rh 0.000 1.951 1.951
Rh 1.951 0.000 1.951
Rh 1.951 1.951 0.000
```

E_form (eV/atom): -0.788
Spin magnetization (μB per formula unit): 0.0